Record 1
The following is a DFT calculation (PBE-GGA) of a relaxed structure of Tm12Sc6In.

Calculated values
- energy of formation (meV per atom) = 76
- magnetic moment (Bohr magnetons per cell) = 0.0
- crystal system = trigonal
- DOS(E_F) (states/eV/f.u.) = 32.44

Cell: 8.1604 8.1604 8.1604 Å, 88.24 88.24 88.24°
Positions (direct):
Tm 0.7871 0.5397 0.4344
Tm 0.4344 0.7871 0.5397
Tm 0.5397 0.4344 0.7871
Tm 0.2129 0.4603 0.5656
Tm 0.5656 0.2129 0.4603
Tm 0.4603 0.5656 0.2129
Tm 0.0091 0.1729 0.3683
Tm 0.8271 0.6317 0.9909
Tm 0.6317 0.9909 0.8271
Tm 0.9909 0.8271 0.6317
Tm 0.1729 0.3683 0.0091
Tm 0.3683 0.0091 0.1729
Sc 0.7432 0.9017 0.2811
Sc 0.7189 0.2568 0.0983
Sc 0.0983 0.7189 0.2568
Sc 0.2568 0.0983 0.7189
Sc 0.2811 0.7432 0.9017
Sc 0.9017 0.2811 0.7432
In 0.0000 0.0000 0.0000

---

Record 2
The following is a DFT calculation (PBE-GGA) of a relaxed structure of Tm2Sc8In3.

Calculated values
- energy of formation (meV per atom) = 86
- magnetic moment (Bohr magnetons per cell) = 1.5
- crystal system = trigonal
- DOS(E_F) (states/eV/f.u.) = 15.84

Cell: 5.9721 5.9721 11.5781 Å, 75.05 75.05 60.00°
Site moments in Bohr magnetons follow the coordinates.
Positions (direct):
Tm 0.6390 0.6390 0.0830  0.20
Tm 0.3610 0.3610 0.9170  0.20
Sc 0.7292 0.7292 0.8123  0.19
Sc 0.2708 0.2708 0.1877  0.19
Sc 0.2246 0.7223 0.3308  0.03
Sc 0.7223 0.2246 0.3308  0.03
Sc 0.7223 0.7223 0.3308  0.03
Sc 0.2777 0.7754 0.6692  0.03
Sc 0.7754 0.2777 0.6692  0.03
Sc 0.2777 0.2777 0.6692  0.03
In 0.0000 0.0000 0.0000  -0.01
In 0.8144 0.8144 0.5569  0.00
In 0.1856 0.1856 0.4431  0.00

---

Record 3
The following is a DFT calculation (PBE-GGA) of a relaxed structure of Tm4Sc2In.

Calculated values
- energy of formation (meV per atom) = -31
- magnetic moment (Bohr magnetons per cell) = 2.3
- crystal system = monoclinic
- DOS(E_F) (states/eV/f.u.) = 10.84

Cell: 5.2961 6.6036 11.4246 Å, 90.00 103.41 90.00°
Site moments in Bohr magnetons follow the coordinates.
Positions (direct):
Tm 0.6457 0.4934 0.2920  0.09
Tm 0.9313 0.7500 0.8616  0.10
Tm 0.0687 0.2500 0.1384  0.10
Tm 0.6457 0.0066 0.2920  0.09
Tm 0.7872 0.2500 0.5735  0.04
Tm 0.3543 0.9934 0.7080  0.09
Tm 0.3543 0.5066 0.7080  0.09
Tm 0.2128 0.7500 0.4265  0.04
Sc 0.5130 0.7500 0.0248  0.36
Sc 0.4870 0.2500 0.9752  0.36
Sc 0.2152 0.2500 0.4300  0.06
Sc 0.7848 0.7500 0.5700  0.06
In 0.0766 0.7500 0.1523  0.00
In 0.9234 0.2500 0.8477  0.00

---

Record 4
The following is a DFT calculation (PBE-GGA) of a relaxed structure of Tm3ScIn.

Calculated values
- energy of formation (meV per atom) = 42
- magnetic moment (Bohr magnetons per cell) = 0.0
- crystal system = monoclinic
- energy above the lowest structure with this stoichiometry (meV/atom) = 217
- DOS(E_F) (states/eV/f.u.) = 7.53

Cell: 3.4183 8.0512 11.1514 Å, 90.00 90.00 102.35°
Positions (direct):
Tm 0.8528 0.2038 0.0069
Tm 0.1472 0.7962 0.9931
Tm 0.8528 0.2038 0.4931
Tm 0.1472 0.7962 0.5069
Tm 0.7050 0.9079 0.2500
Tm 0.2950 0.0921 0.7500
Sc 0.0272 0.5481 0.2500
Sc 0.9728 0.4519 0.7500
In 0.3737 0.2439 0.2500
In 0.6263 0.7561 0.7500

---

Record 5
The following is a DFT calculation (PBE-GGA) of a relaxed structure of Tm6Sc2In.

Calculated values
- energy of formation (meV per atom) = 10
- magnetic moment (Bohr magnetons per cell) = 0.0
- crystal system = monoclinic
- DOS(E_F) (states/eV/f.u.) = 12.91

Cell: 3.3609 8.2841 9.6798 Å, 78.22 80.00 78.30°
Positions (direct):
Tm 0.7730 0.3427 0.1112
Tm 0.2270 0.6573 0.8888
Tm 0.3812 0.6880 0.5496
Tm 0.0490 0.6542 0.2477
Tm 0.9510 0.3458 0.7523
Tm 0.6188 0.3120 0.4504
Sc 0.3402 0.0170 0.3026
Sc 0.6598 0.9830 0.6974
In 0.0000 0.0000 0.0000

---

Record 6
The following is a DFT calculation (PBE-GGA) of a relaxed structure of Tm4ScIn5.

Calculated values
- energy of formation (meV per atom) = -420
- magnetic moment (Bohr magnetons per cell) = 0.0
- crystal system = tetragonal
- DOS(E_F) (states/eV/f.u.) = 5.70

Cell: 3.6048 3.6048 19.2866 Å, 90.00 90.00 90.00°
Positions (direct):
Tm 0.0000 0.0000 0.1924
Tm 0.0000 0.0000 0.3969
Tm 0.0000 0.0000 0.6031
Tm 0.0000 0.0000 0.8076
Sc 0.0000 0.0000 0.0000
In 0.5000 0.5000 0.0907
In 0.5000 0.5000 0.2942
In 0.5000 0.5000 0.5000
In 0.5000 0.5000 0.7058
In 0.5000 0.5000 0.9093

---

Record 7
The following is a DFT calculation (PBE-GGA) of a relaxed structure of Tm6ScIn.

Calculated values
- energy of formation (meV per atom) = 22
- magnetic moment (Bohr magnetons per cell) = 0.0
- crystal system = monoclinic
- energy above the lowest structure with this stoichiometry (meV/atom) = 140
- DOS(E_F) (states/eV/f.u.) = 6.58

Cell: 6.4629 6.4629 9.0098 Å, 110.84 110.84 120.30°
Positions (direct):
Tm 0.3182 0.3182 0.7477
Tm 0.2567 0.8288 0.2525
Tm 0.6818 0.6818 0.2523
Tm 0.1712 0.7433 0.7475
Tm 0.7433 0.1712 0.7475
Tm 0.8288 0.2567 0.2525
Sc 0.5000 0.5000 0.5000
In 0.0000 0.0000 0.0000

---

Record 8
The following is a DFT calculation (PBE-GGA) of a relaxed structure of Tm3Sc3In2.

Calculated values
- energy of formation (meV per atom) = -256
- magnetic moment (Bohr magnetons per cell) = 1.9
- crystal system = orthorhombic
- DOS(E_F) (states/eV/f.u.) = 10.44

Cell: 4.6525 4.6614 9.2892 Å, 90.00 90.00 90.00°
Site moments in Bohr magnetons follow the coordinates.
Positions (direct):
Tm 0.5000 0.0000 0.5000  0.20
Tm 0.0000 0.5000 0.0000  0.24
Tm 0.0000 0.5000 0.5000  0.18
Sc 0.5000 0.5000 0.7547  0.28
Sc 0.5000 0.5000 0.2453  0.28
Sc 0.5000 0.0000 0.0000  0.29
In 0.0000 0.0000 0.7539  -0.02
In 0.0000 0.0000 0.2461  -0.02

---

Record 9
The following is a DFT calculation (PBE-GGA) of a relaxed structure of TmScIn.

Calculated values
- energy of formation (meV per atom) = -302
- magnetic moment (Bohr magnetons per cell) = 0.0
- crystal system = tetragonal
- energy above the lowest structure with this stoichiometry (meV/atom) = 63
- DOS(E_F) (states/eV/f.u.) = 3.66

Cell: 3.3895 3.3895 7.0397 Å, 103.93 103.93 90.00°
Positions (direct):
Sc 0.6075 0.6075 0.2150
Tm 0.2869 0.2869 0.5738
In 0.9556 0.9556 0.9112

---

Record 10
The following is a DFT calculation (PBE-GGA) of a relaxed structure of TmSc4In2.

Calculated values
- energy of formation (meV per atom) = 87
- magnetic moment (Bohr magnetons per cell) = 0.0
- crystal system = tetragonal
- energy above the lowest structure with this stoichiometry (meV/atom) = 26
- DOS(E_F) (states/eV/f.u.) = 8.51

Cell: 4.0156 4.0156 11.5022 Å, 100.05 100.05 90.00°
Positions (direct):
Tm 0.0000 0.0000 0.0000
Sc 0.1381 0.1381 0.2763
Sc 0.8619 0.8619 0.7237
Sc 0.7500 0.2500 0.5000
Sc 0.2500 0.7500 0.5000
In 0.5817 0.5817 0.1634
In 0.4183 0.4183 0.8366

---

Record 11
The following is a DFT calculation (PBE-GGA) of a relaxed structure of Tm2Sc3In2.

Calculated values
- energy of formation (meV per atom) = -129
- magnetic moment (Bohr magnetons per cell) = 0.4
- crystal system = orthorhombic
- energy above the lowest structure with this stoichiometry (meV/atom) = 0
- DOS(E_F) (states/eV/f.u.) = 8.94

Cell: 4.9547 3.3645 11.2906 Å, 98.57 102.67 90.00°
Site moments in Bohr magnetons follow the coordinates.
Positions (direct):
Tm 0.5719 0.5719 0.1439  0.06
Tm 0.4281 0.4281 0.8561  0.06
Sc 0.0000 0.0000 0.0000  0.01
Sc 0.7064 0.2064 0.4129  0.06
Sc 0.2936 0.7936 0.5871  0.06
In 0.1549 0.6549 0.3099  0.00
In 0.8451 0.3451 0.6901  0.00

---

Record 12
The following is a DFT calculation (PBE-GGA) of a relaxed structure of Tm3Sc3In.

Calculated values
- energy of formation (meV per atom) = -64
- magnetic moment (Bohr magnetons per cell) = 0.0
- crystal system = triclinic
- DOS(E_F) (states/eV/f.u.) = 9.73

Cell: 6.3739 13.9215 9.1661 Å, 136.73 64.52 84.44°
Positions (direct):
Tm 0.1699 0.1368 0.4666
Tm 0.3165 0.8483 0.8274
Tm 0.9947 0.4182 0.1277
Tm 0.8301 0.8632 0.5334
Tm 0.6835 0.1517 0.1726
Tm 0.0053 0.5818 0.8723
Sc 0.4310 0.6940 0.9606
Sc 0.2625 0.9875 0.6139
Sc 0.1011 0.2622 0.2618
Sc 0.5690 0.3060 0.0394
Sc 0.7375 0.0125 0.3861
Sc 0.8989 0.7378 0.7382
In 0.4871 0.6175 0.2412
In 0.5129 0.3825 0.7588